VASP calculation (GGA-PBE) on an optimized crystal structure of Ca2ZnW.

Geometry as POSCAR:
```
Ca2ZnW
1.0
8.093 0.000 0.000
0.000 8.093 0.000
4.047 4.047 2.927
Zn Ca W
2 4 2
Direct
0.500 0.500 0.000
0.250 0.750 0.500
0.604 0.125 0.250
0.146 0.625 0.250
0.375 0.396 0.750
0.875 0.854 0.750
0.000 0.000 0.000
0.750 0.250 0.500
```

Computed properties:
Energy relative to the elements: 98 kJ per mole of atoms

---

VASP calculation (GGA-PBE) on an optimized crystal structure of Ca2ZnW.

Geometry as POSCAR:
```
Ca2ZnW
1.0
-6.668 8.223 0.840
-8.698 5.896 1.539
-6.876 7.142 3.809
Zn Ca W
1 2 1
Direct
0.750 0.750 0.750
0.997 0.997 0.997
0.503 0.503 0.503
0.250 0.250 0.250
```

Computed properties:
Energy relative to the elements: 67 kJ per mole of atoms

---

Copy entry 1 word for word.
VASP calculation (GGA-PBE) on an optimized crystal structure of Ca2ZnW.

Geometry as POSCAR:
```
Ca2ZnW
1.0
8.093 0.000 0.000
0.000 8.093 0.000
4.047 4.047 2.927
Zn Ca W
2 4 2
Direct
0.500 0.500 0.000
0.250 0.750 0.500
0.604 0.125 0.250
0.146 0.625 0.250
0.375 0.396 0.750
0.875 0.854 0.750
0.000 0.000 0.000
0.750 0.250 0.500
```

Computed properties:
Energy relative to the elements: 98 kJ per mole of atoms